Below is a geometry-optimized Cs3SrCr2F9 structure, with properties calculated at the PBE with a Hubbard U level.

Cell and atoms, written as CIF:
```
data_Cs3SrCr2F9
_symmetry_space_group_name_H-M 'P 1'
_symmetry_Int_Tables_number 1
_cell_length_a 6.353
_cell_length_b 6.353
_cell_length_c 7.817
_cell_angle_alpha 90.00
_cell_angle_beta 90.00
_cell_angle_gamma 120.00
loop_
_symmetry_equiv_pos_as_xyz
'x,y,z'
loop_
_atom_site_label
_atom_site_type_symbol
_atom_site_fract_x
_atom_site_fract_y
_atom_site_fract_z
Cs1 Cs 0.000 0.000 0.000
Cs2 Cs 0.333 0.667 0.673
Cs3 Cs 0.667 0.333 0.327
Sr1 Sr 0.000 0.000 0.500
Cr1 Cr 0.333 0.667 0.153
Cr2 Cr 0.667 0.333 0.847
F1 F 0.000 0.500 0.000
F2 F 0.177 0.354 0.316
F3 F 0.177 0.823 0.316
F4 F 0.354 0.177 0.684
F5 F 0.500 0.000 0.000
F6 F 0.500 0.500 0.000
F7 F 0.646 0.823 0.316
F8 F 0.823 0.177 0.684
F9 F 0.823 0.646 0.684
```

Output
Calculated total energy: -0.3868 Ry/atom
DOS(E_F): 2.297 states/eV/cell